[1]
# GdLuGe2Ir PBE-GGA optimized geometry
# ΔE to the lowest computed polymorph	5.0	meV/atom
data_GdLuGe2Ir
_space_group_name_H-M_alt 'C 1 2/m 1'
_space_group_IT_number 12
_cell_length_a 10.505
_cell_length_b 4.279
_cell_length_c 10.300
_cell_angle_alpha 90.00
_cell_angle_beta 117.03
_cell_angle_gamma 90.00
loop_
_space_group_symop_operation_xyz
'x,y,z'
'-x,-y,-z'
'-x,y,-z'
'x,-y,z'
'x+1/2,y+1/2,z'
'-x+1/2,-y+1/2,-z'
'-x+1/2,y+1/2,-z'
'x+1/2,-y+1/2,z'
loop_
_atom_site_label
_atom_site_fract_x
_atom_site_fract_y
_atom_site_fract_z
Gd1 0.006 0.000 0.327
Lu1 0.188 0.000 0.119
Ge1 0.023 0.500 0.888
Ge2 0.148 0.500 0.554
Ir1 0.227 0.500 0.331

[2]
Computed, not measured: NdGdGe2Ir after structural relaxation at the PBE-GGA level of DFT.

```
data_NdGdGe2Ir
_space_group_name_H-M_alt 'C 1 2/m 1'
_space_group_IT_number 12
_cell_length_a 10.752
_cell_length_b 4.364
_cell_length_c 10.530
_cell_angle_alpha 90.00
_cell_angle_beta 117.05
_cell_angle_gamma 90.00
loop_
_space_group_symop_operation_xyz
'x,y,z'
'-x,-y,-z'
'-x,y,-z'
'x,-y,z'
'x+1/2,y+1/2,z'
'-x+1/2,-y+1/2,-z'
'-x+1/2,y+1/2,-z'
'x+1/2,-y+1/2,z'
loop_
_atom_site_label
_atom_site_fract_x
_atom_site_fract_y
_atom_site_fract_z
Nd1 0.191 0.000 0.118
Gd1 0.008 0.000 0.331
Ge1 0.017 0.500 0.882
Ge2 0.149 0.500 0.552
Ir1 0.229 0.500 0.338
```

[3]
Computed, not measured: Tb2GdNiGe3Ir2 after structural relaxation at the PBE-GGA level of DFT.

```
data_Tb2GdNiGe3Ir2
_space_group_name_H-M_alt 'A m m 2'
_space_group_IT_number 38
_cell_length_a 3.902
_cell_length_b 12.286
_cell_length_c 7.077
_cell_angle_alpha 90.00
_cell_angle_beta 90.00
_cell_angle_gamma 90.00
loop_
_space_group_symop_operation_xyz
'x,y,z'
'-x,-y,z'
'-x,y,z'
'x,-y,z'
'x,y+1/2,z+1/2'
'-x,-y+1/2,z+1/2'
'-x,y+1/2,z+1/2'
'x,-y+1/2,z+1/2'
loop_
_atom_site_label
_atom_site_fract_x
_atom_site_fract_y
_atom_site_fract_z
Tb1 0.000 0.201 0.000
Gd1 0.000 0.000 0.398
Ni1 0.000 0.000 0.800
Ge1 0.500 0.000 0.048
Ge2 0.500 0.125 0.675
Ir1 0.500 0.167 0.299
```

[4]
Computed, not measured: TbGd2NiGe3Ir2 after structural relaxation at the PBE-GGA level of DFT.

```
data_TbGd2NiGe3Ir2
_space_group_name_H-M_alt 'A m m 2'
_space_group_IT_number 38
_cell_length_a 3.889
_cell_length_b 12.273
_cell_length_c 7.101
_cell_angle_alpha 90.00
_cell_angle_beta 90.00
_cell_angle_gamma 90.00
loop_
_space_group_symop_operation_xyz
'x,y,z'
'-x,-y,z'
'-x,y,z'
'x,-y,z'
'x,y+1/2,z+1/2'
'-x,-y+1/2,z+1/2'
'-x,y+1/2,z+1/2'
'x,-y+1/2,z+1/2'
loop_
_atom_site_label
_atom_site_fract_x
_atom_site_fract_y
_atom_site_fract_z
Tb1 0.000 0.000 0.000
Gd1 0.000 0.202 0.605
Ni1 0.000 0.000 0.402
Ge1 0.500 0.000 0.652
Ge2 0.500 0.124 0.279
Ir1 0.500 0.166 0.903
```

[5]
# SmGdGe2Ir PBE-GGA optimized geometry
# ΔE to the lowest computed polymorph	2.7	meV/atom
data_SmGdGe2Ir
_space_group_name_H-M_alt 'C 1 2/m 1'
_space_group_IT_number 12
_cell_length_a 10.723
_cell_length_b 4.334
_cell_length_c 10.476
_cell_angle_alpha 90.00
_cell_angle_beta 117.26
_cell_angle_gamma 90.00
loop_
_space_group_symop_operation_xyz
'x,y,z'
'-x,-y,-z'
'-x,y,-z'
'x,-y,z'
'x+1/2,y+1/2,z'
'-x+1/2,-y+1/2,-z'
'-x+1/2,y+1/2,-z'
'x+1/2,-y+1/2,z'
loop_
_atom_site_label
_atom_site_fract_x
_atom_site_fract_y
_atom_site_fract_z
Sm1 0.007 0.000 0.329
Gd1 0.189 0.000 0.119
Ge1 0.018 0.500 0.885
Ge2 0.150 0.500 0.554
Ir1 0.227 0.500 0.335

[6]
# SmGdGe2Ir PBE-GGA optimized geometry
# ΔE to the lowest computed polymorph	0.0	meV/atom
data_SmGdGe2Ir
_space_group_name_H-M_alt 'C 1 2/m 1'
_space_group_IT_number 12
_cell_length_a 10.705
_cell_length_b 4.341
_cell_length_c 10.481
_cell_angle_alpha 90.00
_cell_angle_beta 117.11
_cell_angle_gamma 90.00
loop_
_space_group_symop_operation_xyz
'x,y,z'
'-x,-y,-z'
'-x,y,-z'
'x,-y,z'
'x+1/2,y+1/2,z'
'-x+1/2,-y+1/2,-z'
'-x+1/2,y+1/2,-z'
'x+1/2,-y+1/2,z'
loop_
_atom_site_label
_atom_site_fract_x
_atom_site_fract_y
_atom_site_fract_z
Sm1 0.190 0.000 0.119
Gd1 0.008 0.000 0.331
Ge1 0.018 0.500 0.883
Ge2 0.149 0.500 0.553
Ir1 0.228 0.500 0.338

[7]
Computed, not measured: TbGdGe2Ir after structural relaxation at the PBE-GGA level of DFT.

```
data_TbGdGe2Ir
_space_group_name_H-M_alt 'C 1 2/m 1'
_space_group_IT_number 12
_cell_length_a 10.621
_cell_length_b 4.323
_cell_length_c 10.396
_cell_angle_alpha 90.00
_cell_angle_beta 116.98
_cell_angle_gamma 90.00
loop_
_space_group_symop_operation_xyz
'x,y,z'
'-x,-y,-z'
'-x,y,-z'
'x,-y,z'
'x+1/2,y+1/2,z'
'-x+1/2,-y+1/2,-z'
'-x+1/2,y+1/2,-z'
'x+1/2,-y+1/2,z'
loop_
_atom_site_label
_atom_site_fract_x
_atom_site_fract_y
_atom_site_fract_z
Tb1 0.190 0.000 0.118
Gd1 0.008 0.000 0.330
Ge1 0.019 0.500 0.884
Ge2 0.148 0.500 0.553
Ir1 0.228 0.500 0.335
```

[8]
Computed, not measured: TbGdGe2Ir after structural relaxation at the PBE-GGA level of DFT.

```
data_TbGdGe2Ir
_space_group_name_H-M_alt 'C 1 2/m 1'
_space_group_IT_number 12
_cell_length_a 10.611
_cell_length_b 4.324
_cell_length_c 10.392
_cell_angle_alpha 90.00
_cell_angle_beta 116.92
_cell_angle_gamma 90.00
loop_
_space_group_symop_operation_xyz
'x,y,z'
'-x,-y,-z'
'-x,y,-z'
'x,-y,z'
'x+1/2,y+1/2,z'
'-x+1/2,-y+1/2,-z'
'-x+1/2,y+1/2,-z'
'x+1/2,-y+1/2,z'
loop_
_atom_site_label
_atom_site_fract_x
_atom_site_fract_y
_atom_site_fract_z
Tb1 0.008 0.000 0.330
Gd1 0.190 0.000 0.118
Ge1 0.019 0.500 0.884
Ge2 0.148 0.500 0.553
Ir1 0.229 0.500 0.336
```

[9]
# GdTmGe2Ir PBE-GGA optimized geometry
# ΔE to the lowest computed polymorph	4.2	meV/atom
data_GdTmGe2Ir
_space_group_name_H-M_alt 'C 1 2/m 1'
_space_group_IT_number 12
_cell_length_a 10.532
_cell_length_b 4.292
_cell_length_c 10.324
_cell_angle_alpha 90.00
_cell_angle_beta 117.00
_cell_angle_gamma 90.00
loop_
_space_group_symop_operation_xyz
'x,y,z'
'-x,-y,-z'
'-x,y,-z'
'x,-y,z'
'x+1/2,y+1/2,z'
'-x+1/2,-y+1/2,-z'
'-x+1/2,y+1/2,-z'
'x+1/2,-y+1/2,z'
loop_
_atom_site_label
_atom_site_fract_x
_atom_site_fract_y
_atom_site_fract_z
Gd1 0.007 0.000 0.328
Tm1 0.189 0.000 0.119
Ge1 0.022 0.500 0.887
Ge2 0.148 0.500 0.554
Ir1 0.227 0.500 0.332

[10]
# GdTmGe2Ir PBE-GGA optimized geometry
# ΔE to the lowest computed polymorph	0.0	meV/atom
data_GdTmGe2Ir
_space_group_name_H-M_alt 'C 1 2/m 1'
_space_group_IT_number 12
_cell_length_a 10.483
_cell_length_b 4.305
_cell_length_c 10.286
_cell_angle_alpha 90.00
_cell_angle_beta 116.70
_cell_angle_gamma 90.00
loop_
_space_group_symop_operation_xyz
'x,y,z'
'-x,-y,-z'
'-x,y,-z'
'x,-y,z'
'x+1/2,y+1/2,z'
'-x+1/2,-y+1/2,-z'
'-x+1/2,y+1/2,-z'
'x+1/2,-y+1/2,z'
loop_
_atom_site_label
_atom_site_fract_x
_atom_site_fract_y
_atom_site_fract_z
Gd1 0.191 0.000 0.118
Tm1 0.009 0.000 0.332
Ge1 0.020 0.500 0.882
Ge2 0.145 0.500 0.552
Ir1 0.229 0.500 0.339

[11]
Computed, not measured: GdYGe2Ir after structural relaxation at the PBE-GGA level of DFT.

```
data_GdYGe2Ir
_space_group_name_H-M_alt 'C 1 2/m 1'
_space_group_IT_number 12
_cell_length_a 10.593
_cell_length_b 4.324
_cell_length_c 10.370
_cell_angle_alpha 90.00
_cell_angle_beta 116.97
_cell_angle_gamma 90.00
loop_
_space_group_symop_operation_xyz
'x,y,z'
'-x,-y,-z'
'-x,y,-z'
'x,-y,z'
'x+1/2,y+1/2,z'
'-x+1/2,-y+1/2,-z'
'-x+1/2,y+1/2,-z'
'x+1/2,-y+1/2,z'
loop_
_atom_site_label
_atom_site_fract_x
_atom_site_fract_y
_atom_site_fract_z
Gd1 0.008 0.000 0.330
Y1 0.190 0.000 0.117
Ge1 0.020 0.500 0.884
Ge2 0.149 0.500 0.554
Ir1 0.228 0.500 0.336
```

[12]
Computed, not measured: GdYGe2Ir after structural relaxation at the PBE-GGA level of DFT.

```
data_GdYGe2Ir
_space_group_name_H-M_alt 'C 1 2/m 1'
_space_group_IT_number 12
_cell_length_a 10.589
_cell_length_b 4.322
_cell_length_c 10.364
_cell_angle_alpha 90.00
_cell_angle_beta 116.89
_cell_angle_gamma 90.00
loop_
_space_group_symop_operation_xyz
'x,y,z'
'-x,-y,-z'
'-x,y,-z'
'x,-y,z'
'x+1/2,y+1/2,z'
'-x+1/2,-y+1/2,-z'
'-x+1/2,y+1/2,-z'
'x+1/2,-y+1/2,z'
loop_
_atom_site_label
_atom_site_fract_x
_atom_site_fract_y
_atom_site_fract_z
Gd1 0.190 0.000 0.117
Y1 0.008 0.000 0.330
Ge1 0.020 0.500 0.884
Ge2 0.148 0.500 0.553
Ir1 0.228 0.500 0.336
```

| no. | VASP energy (eV/cell) |
| --- | --- |
| 1 | -127.16 |
| 2 | -127.62 |
| 3 | -116.33 |
| 4 | -116.30 |
| 5 | -127.75 |
| 6 | -127.81 |
| 7 | -127.81 |
| 8 | -127.83 |
| 9 | -127.12 |
| 10 | -127.21 |
| 11 | -135.30 |
| 12 | -135.27 |